No. 1
A relaxed structure of Pr2Si4Os3. Source: the Alexandria database, functional PBE.

Unit cell a=7.788 b=6.651 c=5.681 alpha=77.90 beta=56.61 gamma=45.49
Sites, in units of the cell vectors:
Pr 0.136 0.136 0.864
Pr 0.864 0.864 0.136
Si 0.166 0.527 0.473
Si 0.473 0.834 0.166
Si 0.527 0.166 0.834
Si 0.834 0.473 0.527
Os 0.000 0.000 0.500
Os 0.500 0.500 0.000
Os 0.500 0.500 0.500

Output
electronic total energy	-7.58	eV/atom
formation energy from raw total energies	-0.368	eV per atom

=====

No. 2
A relaxed structure of PrSi3Os. Source: the Alexandria database, functional PBE.

Unit cell a=5.997 b=5.651 c=5.833 alpha=90.00 beta=90.00 gamma=90.00
Sites, in units of the cell vectors:
Pr 0.000 0.154 0.000
Pr 0.500 0.846 0.500
Si 0.000 0.975 0.500
Si 0.214 0.344 0.515
Si 0.286 0.656 0.015
Si 0.500 0.025 0.000
Si 0.714 0.656 0.015
Si 0.786 0.344 0.515
Os 0.000 0.626 0.294
Os 0.500 0.374 0.794

Output
electronic total energy	-6.91	eV/atom
formation energy from raw total energies	-0.456	eV per atom

=====

No. 3
A relaxed structure of PrTaSi2Os. Source: the Alexandria database, functional PBE.

Unit cell a=6.278 b=6.278 c=6.278 alpha=142.15 beta=142.15 gamma=54.60
Sites, in units of the cell vectors:
Pr 0.000 0.000 0.000
Ta 0.250 0.750 0.500
Si 0.388 0.388 0.000
Si 0.612 0.612 0.000
Os 0.750 0.250 0.500

Output
electronic total energy	-8.32	eV/atom
formation energy from raw total energies	-0.579	eV per atom

=====

No. 4
A relaxed structure of PrSi3TcOs. Source: the Alexandria database, functional PBE.

Unit cell a=6.728 b=6.728 c=5.634 alpha=90.00 beta=90.00 gamma=111.17
Sites, in units of the cell vectors:
Pr 0.247 0.753 0.750
Pr 0.753 0.247 0.250
Si 0.248 0.752 0.250
Si 0.251 0.251 0.000
Si 0.251 0.251 0.500
Si 0.749 0.749 0.000
Si 0.749 0.749 0.500
Si 0.752 0.248 0.750
Tc 0.448 0.552 0.250
Tc 0.552 0.448 0.750
Os 0.047 0.953 0.250
Os 0.953 0.047 0.750

Output
electronic total energy	-7.47	eV/atom
formation energy from raw total energies	-0.358	eV per atom